Compound: Ca2Zn2Rh
Source: Alexandria
Functional: GGA-PBE
Structure: optimized geometry

Lattice parameters (Å, degrees): 4.3760 5.4622 5.7644 118.28 112.31 90.00
With the nearest neighbours (Å) after each atom.
Sites, in units of the cell vectors:
1 Ca 0.8065 0.3065 0.6130  6 Zn 3.12-3.14, 2 Rh 3.26
2 Ca 0.1935 0.6935 0.3870  6 Zn 3.12-3.14, 2 Rh 3.26
3 Rh 0.0000 0.0000 0.0000  4 Zn 2.57
4 Zn 0.5000 0.2476 0.0000  2 Rh 2.57, 2 Zn 2.70-2.76
5 Zn 0.5000 0.7524 0.0000  2 Rh 2.57, 2 Zn 2.70-2.76

Computed properties:
Crystal system ... orthorhombic
Mass density ... 4.8 Mg/m³
Energy of formation from the pure elements ... -0.396 eV/atom
Density of states at the Fermi level ... 2.24 states/eV/f.u.